# 1
Here is CeS2Cl5 after structural relaxation from Alexandria via LeMat-Bulk. Energies are from PBE-GGA.

The uncorrected energy is -4.089 eV per atom. Its space-group type is No. 1. As for the formation energy without anion corrections: -9.288 eV/f.u.

a b c (Å): 5.2502 4.2586 15.2869
angles (deg): 82.52 51.51 90.01
Each line ends with the local moment (μB).
Positions (direct):
Ce 0.9445 0.8631 0.9478  0.33
S 0.7936 0.9701 0.4390  0.00
S 0.5563 0.5859 0.5431  0.00
Cl 0.6397 0.0988 0.3426  0.00
Cl 0.3546 0.4169 0.8330  -0.01
Cl 0.6422 0.2933 0.0974  -0.01
Cl 0.0107 0.9481 0.7650  -0.02
Cl 0.2815 0.8239 0.0320  -0.01

***

# 2
Here is Li2MgZn6 after structural relaxation from Alexandria via LeMat-Bulk. Energies are from PBE-GGA.

The uncorrected energy is -1.466 eV per atom. Its calculated formation energy is -0.01 eV/atom. The energy above the most stable polymorph in this dataset comes out at 1.14 eV per formula unit. Its space-group type is No. 164.

a b c (Å): 5.6859 5.7393 5.7393
angles (deg): 59.99 90.02 90.02
Positions (direct):
Li 0.8535 0.6667 0.6667
Li 0.1465 0.3333 0.3333
Mg 0.0000 0.0000 0.0000
Zn 0.3420 0.3699 0.8152
Zn 0.3414 0.8151 0.8151
Zn 0.3420 0.8152 0.3699
Zn 0.6580 0.6301 0.1848
Zn 0.6586 0.1850 0.1850
Zn 0.6580 0.1848 0.6301

***

# 3
Here is PmTmIr after structural relaxation from Alexandria via LeMat-Bulk. Energies are from PBE-GGA.

The uncorrected energy is -6.634 eV per atom. Its calculated formation energy is -0.61 eV/atom. The energy above the most stable polymorph in this dataset comes out at 0.11 eV per formula unit. Its space-group type is No. 139.

a b c (Å): 4.5268 4.5268 7.9969
angles (deg): 106.44 106.44 90.04
Positions (direct):
Pm 0.3151 0.3151 0.1300
Pm 0.6849 0.6849 0.8700
Tm 0.0000 0.5000 0.5000
Tm 0.5000 0.0000 0.5000
Ir 0.8759 0.8759 0.2515
Ir 0.1241 0.1241 0.7485

***

# 4
Here is AgSnSN2 after structural relaxation from Alexandria via LeMat-Bulk. Energies are from PBE-GGA.

The uncorrected energy is -3.998 eV per atom. The energy above the most stable polymorph in this dataset comes out at 1.36 eV per formula unit. Its space-group type is No. 123. As for the formation energy without anion corrections: 7.643 eV/f.u.

a b c (Å): 4.1864 4.1864 5.2176
angles (deg): 90.00 90.00 90.00
Each line ends with the local moment (μB).
Positions (direct):
S 0.0000 0.0000 0.5000  0.18
Sn 0.5000 0.5000 0.5000  -0.03
Ag 0.0000 0.0000 0.0000  0.20
N 0.0000 0.5000 0.0000  1.04
N 0.5000 0.0000 0.0000  1.04

***

# 5
Here is U5NbC6 after structural relaxation from Alexandria via LeMat-Bulk. Energies are from PBE-GGA.

The uncorrected energy is -10.391 eV per atom. Its calculated formation energy is -0.24 eV/atom. Its space-group type is No. 12.

a b c (Å): 5.9467 5.9440 5.9549
angles (deg): 60.06 80.48 70.66
Each line ends with the local moment (μB).
Positions (direct):
Nb 0.0000 0.0000 0.0000  -0.01
U 0.5000 0.1666 0.6668  0.23
U 0.0000 0.3333 0.3333  0.02
U 0.5000 0.5000 0.0000  0.25
U 0.0000 0.6667 0.6667  0.02
U 0.5000 0.8334 0.3332  0.23
C 0.7631 0.0783 0.3175  -0.01
C 0.2369 0.6042 0.3175  -0.01
C 0.2399 0.2381 0.0000  -0.01
C 0.7601 0.7619 0.0000  -0.01
C 0.7631 0.3958 0.6825  -0.01
C 0.2369 0.9217 0.6825  -0.01

***

# 6
Here is Pr6NdY2 after structural relaxation from Alexandria via LeMat-Bulk. Energies are from PBE-GGA.

The uncorrected energy is -4.952 eV per atom. Its calculated formation energy is 0.20 eV/atom. The energy above the most stable polymorph in this dataset comes out at 0.51 eV per formula unit. Its space-group type is No. 164.

a b c (Å): 6.3573 7.6295 7.6295
angles (deg): 59.98 89.97 89.97
Each line ends with the local moment (μB).
Positions (direct):
Pr 0.2916 0.3757 0.8123  0.06
Pr 0.2915 0.8121 0.8121  0.06
Pr 0.2916 0.8123 0.3757  0.06
Pr 0.7084 0.6243 0.1877  0.06
Pr 0.7085 0.1879 0.1879  0.06
Pr 0.7084 0.1877 0.6243  0.06
Nd 0.0000 0.0000 0.0000  0.01
Y 0.7870 0.6665 0.6665  0.07
Y 0.2130 0.3335 0.3335  0.07

***

# 7
Here is La2ThF after structural relaxation from Alexandria via LeMat-Bulk. Energies are from PBE-GGA.

The uncorrected energy is -5.981 eV per atom. Its space-group type is No. 166. As for the formation energy without anion corrections: -4.776 eV/f.u.

a b c (Å): 3.7665 3.7665 9.1820
angles (deg): 78.16 78.16 60.00
Positions (direct):
F 0.0000 0.0000 0.0000
Th 0.5000 0.5000 0.5000
La 0.7286 0.7286 0.8141
La 0.2714 0.2714 0.1859

***

# 8
Here is Pm6PrSc3 after structural relaxation from Alexandria via LeMat-Bulk. Energies are from PBE-GGA.

The uncorrected energy is -5.052 eV per atom. Its calculated formation energy is 0.18 eV/atom. Its space-group type is No. 155.

a b c (Å): 9.7872 9.7872 6.8449
angles (deg): 44.36 44.36 60.00
Each line ends with the local moment (μB).
Positions (direct):
Pm 0.9003 0.5617 0.2997  0.01
Pm 0.2383 0.9003 0.2997  0.01
Pm 0.5617 0.2383 0.2997  0.01
Pm 0.0677 0.4001 0.7999  0.01
Pm 0.7322 0.0677 0.7999  0.01
Pm 0.4001 0.7322 0.7999  0.01
Pr 0.9000 0.9000 0.2999  0.05
Sc 0.3999 0.3999 0.8003  0.12
Sc 0.6392 0.6392 0.0824  0.11
Sc 0.1605 0.1605 0.5184  0.11

***

# 9
Here is TlCo2Ru after structural relaxation from Alexandria via LeMat-Bulk. Energies are from PBE-GGA.

The uncorrected energy is -5.648 eV per atom. Its calculated formation energy is 0.82 eV/atom. The energy above the most stable polymorph in this dataset comes out at 1.39 eV per formula unit. Its space-group type is No. 122.

a b c (Å): 6.9843 6.9843 5.6253
angles (deg): 51.63 51.63 90.00
Each line ends with the local moment (μB).
Positions (direct):
Ru 0.5000 0.5000 0.0000  0.95
Ru 0.2500 0.7500 0.5000  0.95
Tl 0.0000 0.0000 0.0000  0.00
Tl 0.7500 0.2500 0.5000  0.01
Co 0.5831 0.1250 0.2500  1.60
Co 0.1669 0.6250 0.2500  1.59
Co 0.3750 0.4169 0.7500  1.65
Co 0.8750 0.8331 0.7500  1.63

***

# 10
Here is Zn2Fe2As after structural relaxation from Alexandria via LeMat-Bulk. Energies are from PBE-GGA.

The uncorrected energy is -4.780 eV per atom. Its calculated formation energy is 0.04 eV/atom. Its space-group type is No. 127.

a b c (Å): 5.8250 5.8250 4.0209
angles (deg): 90.00 90.00 90.00
Positions (direct):
As 0.0000 0.0000 0.0000
As 0.5000 0.5000 0.0000
Zn 0.1574 0.6574 0.5000
Zn 0.6574 0.8426 0.5000
Zn 0.8426 0.3426 0.5000
Zn 0.3426 0.1574 0.5000
Fe 0.3592 0.8592 0.0000
Fe 0.8592 0.6408 0.0000
Fe 0.6408 0.1408 0.0000
Fe 0.1408 0.3592 0.0000

***

# 11
Here is MnCo2S6 after structural relaxation from Alexandria via LeMat-Bulk. Energies are from PBE-GGA.

The uncorrected energy is -5.596 eV per atom. Its space-group type is No. 148. As for the formation energy without anion corrections: -2.214 eV/f.u.

a b c (Å): 5.7780 5.7780 6.1006
angles (deg): 61.73 61.73 60.00
Each line ends with the local moment (μB).
Positions (direct):
Mn 0.0000 0.0000 0.0000  2.55
Co 0.1778 0.1778 0.4665  0.09
Co 0.8222 0.8222 0.5335  0.09
S 0.7677 0.0915 0.7316  -0.03
S 0.0915 0.4092 0.7316  -0.03
S 0.4092 0.7677 0.7316  -0.03
S 0.2323 0.9085 0.2684  -0.03
S 0.9085 0.5908 0.2684  -0.03
S 0.5908 0.2323 0.2684  -0.03

***

# 12
Here is Al2ZnPd4 after structural relaxation from Alexandria via LeMat-Bulk. Energies are from PBE-GGA.

The uncorrected energy is -4.252 eV per atom. Its calculated formation energy is -0.03 eV/atom. The energy above the most stable polymorph in this dataset comes out at 4.33 eV per formula unit. Its space-group type is No. 139.

a b c (Å): 4.5779 4.5779 7.0157
angles (deg): 70.96 70.96 90.00
Positions (direct):
Zn 0.0000 0.0000 0.0000
Al 0.3892 0.3892 0.2216
Al 0.6108 0.6108 0.7784
Pd 0.2001 0.2001 0.5999
Pd 0.7999 0.7999 0.4001
Pd 0.0000 0.5000 0.0000
Pd 0.5000 0.0000 0.0000

***

| no. | volume (Å³/cell) |
| --- | --- |
| 1 | 263.8 |
| 2 | 162.2 |
| 3 | 150.2 |
| 4 | 91.4 |
| 5 | 172.1 |
| 6 | 320.4 |
| 7 | 109.6 |
| 8 | 320.5 |
| 9 | 131.4 |
| 10 | 136.4 |
| 11 | 147.7 |
| 12 | 130.4 |